LiCaDyTl after structural relaxation. Source: Alexandria, functional PBE.

a = 7.566 Å, b = 7.566 Å, c = 7.566 Å
α = 90.00°, β = 90.00°, γ = 90.00°
Space group F-43m (No. 216)
One atom of each set of equivalent atoms:
Li 0.000 0.000 0.000 x4
Ca 0.250 0.250 0.750 x4
Dy 0.250 0.250 0.250 x4
Tl 0.000 0.000 0.500 x4

Summary:
* DOS(E_F): 13.477 states/eV per cell
* energy of formation from the pure elements: -0.221 eV per atom

---

Li2Ca2DyTl2 after structural relaxation. Source: Alexandria, functional PBE.

a = 4.9319 Å, b = 4.9319 Å, c = 27.7993 Å
α = 90.00°, β = 90.00°, γ = 120.00°
Space group R-3m (No. 166, hexagonal axes)
One atom of each set of equivalent atoms:
Li 0.0000 0.0000 0.1115 x6
Ca 0.0000 0.0000 0.3769 x6
Dy 0.0000 0.0000 0.5000 x3
Tl 0.0000 0.0000 0.2292 x6

Summary:
* DOS(E_F): 14.381 states/eV per cell
* energy of formation from the pure elements: -0.228 eV per atom